Record 1
# Ag2HPd6S

An optimized crystal structure of Ag2HPd6S (GGA-PBE, Alexandria). Values from VASP.

Quantum ESPRESSO input file:
```
&SYSTEM
  ibrav = 0, nat = 10, ntyp = 4
/
ATOMIC_SPECIES
S 32.06 S.upf
Pd 106.42 Pd.upf
H 1.01 H.upf
Ag 107.87 Ag.upf
ATOMIC_POSITIONS crystal
S 0.4999 0.5004 0.9998
Pd 0.7637 0.2366 0.9998
Pd 0.7641 0.7646 0.5269
Pd 0.2357 0.2362 0.4726
Pd 0.2361 0.7642 0.9998
Pd 0.2322 0.2326 0.9911
Pd 0.7677 0.7682 0.0085
H 0.9998 0.0003 0.9996
Ag 0.7471 0.2533 0.4999
Ag 0.2528 0.7476 0.4998
CELL_PARAMETERS angstrom
5.9922 0.0018 0.0531
0.0018 5.9930 0.0529
-2.9609 -2.9611 4.1881
```

Record 2
! BeHW2 (GGA-PBE, relaxed); values from VASP
&SYSTEM
  ibrav = 0, nat = 4, ntyp = 3
/
ATOMIC_SPECIES
W 183.84 W.upf
Be 9.01 Be.upf
H 1.01 H.upf
ATOMIC_POSITIONS crystal
W 0.2581 0.2581 0.2258
W 0.7419 0.7419 0.7742
Be 0.5000 0.5000 0.5000
H 0.0000 0.0000 0.0000
CELL_PARAMETERS angstrom
-2.3751 -1.5486 -1.2088
0.5048 -2.2183 -2.0797
-0.2837 -4.7527 2.7164
! Relative energy among the computed polymorphs: 0.016 eV/atom

Record 3
! MnBe2Cr (GGA-PBE, relaxed); values from VASP
&SYSTEM
  ibrav = 0, nat = 4, ntyp = 3
/
ATOMIC_SPECIES
Be 9.01 Be.upf
Mn 54.94 Mn.upf
Cr 52.00 Cr.upf
ATOMIC_POSITIONS crystal
Be 0.0000 0.0000 0.0000
Be 0.5000 0.0000 0.5000
Mn 0.5000 0.5000 0.0000
Cr 0.0000 0.5000 0.5000
CELL_PARAMETERS angstrom
-0.2600 4.1827 2.1675
1.3601 -3.4219 2.3289
2.1878 0.7151 0.2777
! Relative energy among the computed polymorphs: 0.074 eV/atom
! Formation energy from the elements: -0.001 eV per atom

Record 4
! ZnSi2Ag (GGA-PBE, relaxed); values from VASP
&SYSTEM
  ibrav = 0, nat = 4, ntyp = 3
/
ATOMIC_SPECIES
Si 28.09 Si.upf
Zn 65.41 Zn.upf
Ag 107.87 Ag.upf
ATOMIC_POSITIONS crystal
Si 0.0000 0.0000 0.0000
Si 0.5000 0.5000 0.0000
Zn 0.5000 0.0000 0.5000
Ag 0.0000 0.5000 0.5000
CELL_PARAMETERS angstrom
-2.5854 0.3741 0.8202
0.4065 -3.6299 2.9368
1.6095 3.1300 3.6459
! E_form (uncorrected): 0.363 eV/atom

Record 5
! Er2SbP (GGA-PBE, relaxed); values from VASP
&SYSTEM
  ibrav = 0, nat = 4, ntyp = 3
/
ATOMIC_SPECIES
P 30.97 P.upf
Er 167.26 Er.upf
Sb 121.76 Sb.upf
ATOMIC_POSITIONS crystal
P 0.6684 0.6684 0.9948
Er 0.0726 0.0726 0.7821
Er 0.2599 0.2599 0.2202
Sb 0.4991 0.4991 0.5028
CELL_PARAMETERS angstrom
4.0752 0.0000 0.0000
2.0376 3.5293 0.0000
2.0376 1.1764 7.1370
! E_form (uncorrected): -1.223 eV/atom

Record 6
! TcTe3 (GGA-PBE, relaxed); values from VASP
&SYSTEM
  ibrav = 0, nat = 4, ntyp = 2
/
ATOMIC_SPECIES
Te 127.60 Te.upf
Tc 98.00 Tc.upf
ATOMIC_POSITIONS crystal
Te 0.7251 0.7251 0.7251
Te 0.5000 0.5000 0.5000
Te 0.2749 0.2749 0.2749
Tc 0.0000 0.0000 0.0000
CELL_PARAMETERS angstrom
11.0613 0.0266 0.0156
10.5426 3.3476 0.0156
10.5426 1.6466 2.9147
! E_form (uncorrected): 0.110 eV/atom
! Relative energy among the computed polymorphs: 0.080 eV/atom

Record 7
! SrTcRu2 (GGA-PBE, relaxed); values from VASP
&SYSTEM
  ibrav = 0, nat = 4, ntyp = 3
/
ATOMIC_SPECIES
Sr 87.62 Sr.upf
Ru 101.07 Ru.upf
Tc 98.00 Tc.upf
ATOMIC_POSITIONS crystal
Sr 0.2500 0.2500 0.2500
Ru 0.4886 0.4886 0.4886
Ru 0.0114 0.0114 0.0114
Tc 0.7500 0.7500 0.7500
CELL_PARAMETERS angstrom
-6.3003 6.1546 -4.2440
-7.0423 3.7609 -5.6432
-8.1991 4.3430 -3.0818
! Relative energy among the computed polymorphs: 0.255 eV/atom
! Formation energy from the elements: 0.732 eV per atom

Record 8
! YTa2As (GGA-PBE, relaxed); values from VASP
&SYSTEM
  ibrav = 0, nat = 4, ntyp = 3
/
ATOMIC_SPECIES
As 74.92 As.upf
Ta 180.95 Ta.upf
Y 88.91 Y.upf
ATOMIC_POSITIONS crystal
As 0.5000 0.5000 0.7500
Ta 0.0000 0.0000 0.5568
Ta 0.0000 0.0000 0.9432
Y 0.5000 0.5000 0.2500
CELL_PARAMETERS angstrom
3.4927 0.0000 0.0000
0.0000 3.4927 0.0000
0.0000 0.0000 6.6258
! Formation energy from the elements: 0.008 eV per atom

Record 9
! Zr2SiPb (GGA-PBE, relaxed); values from VASP
&SYSTEM
  ibrav = 0, nat = 4, ntyp = 3
/
ATOMIC_SPECIES
Pb 207.20 Pb.upf
Zr 91.22 Zr.upf
Si 28.09 Si.upf
ATOMIC_POSITIONS crystal
Pb 0.0000 0.6379 0.4158
Zr 0.0000 0.0321 0.8941
Zr 0.5000 0.1715 0.3329
Si 0.5000 0.6586 0.8572
CELL_PARAMETERS angstrom
4.9819 0.0000 0.0000
0.0000 3.2042 0.0094
0.0000 1.4013 5.4620
! E_form (uncorrected): -0.207 eV/atom
! Relative energy among the computed polymorphs: 0.227 eV/atom

Record 10
# NaH3O2

An optimized crystal structure of NaH3O2 (GGA-PBE, Alexandria). Values from VASP.

Quantum ESPRESSO input file:
```
&SYSTEM
  ibrav = 0, nat = 12, ntyp = 3
/
ATOMIC_SPECIES
O 16.00 O.upf
H 1.01 H.upf
Na 22.99 Na.upf
ATOMIC_POSITIONS crystal
O 0.8571 0.5000 0.1228
O 0.8571 0.5000 0.8772
O 0.1429 0.0000 0.6228
O 0.1429 0.0000 0.3772
H 0.1045 0.5000 0.1835
H 0.8955 0.0000 0.6835
H 0.1045 0.5000 0.8165
H 0.0747 0.0000 0.5000
H 0.8955 0.0000 0.3165
H 0.9253 0.5000 0.0000
Na 0.5406 0.5000 0.5000
Na 0.4594 0.0000 0.0000
CELL_PARAMETERS angstrom
-0.9856 2.8092 -1.0326
-3.4087 -1.0285 0.4556
0.1862 3.3908 9.0475
```

Record 11
! Cd3FeP (GGA-PBE, relaxed); values from VASP
&SYSTEM
  ibrav = 0, nat = 5, ntyp = 3
/
ATOMIC_SPECIES
P 30.97 P.upf
Cd 112.41 Cd.upf
Fe 55.84 Fe.upf
ATOMIC_POSITIONS crystal
P 0.0000 0.0000 0.0000
Cd 0.5000 0.0000 0.0000
Cd 0.0000 0.5000 0.0000
Cd 0.0000 0.0000 0.5000
Fe 0.5000 0.5000 0.5000
CELL_PARAMETERS angstrom
5.0600 0.0000 0.0000
0.0000 5.0600 0.0000
0.0000 0.0000 5.0600
! Relative energy among the computed polymorphs: 0.000 eV/atom
! Formation energy from the elements: 0.899 eV per atom

Record 12
! ErTm2Cd4 (GGA-PBE, relaxed); values from VASP
&SYSTEM
  ibrav = 0, nat = 7, ntyp = 3
/
ATOMIC_SPECIES
Cd 112.41 Cd.upf
Tm 168.93 Tm.upf
Er 167.26 Er.upf
ATOMIC_POSITIONS crystal
Cd 0.1161 0.6161 0.2322
Cd 0.6161 0.1161 0.2322
Cd 0.8839 0.3839 0.7678
Cd 0.3839 0.8839 0.7678
Tm 0.7436 0.7436 0.4872
Tm 0.2564 0.2564 0.5128
Er 0.0000 0.0000 0.0000
CELL_PARAMETERS angstrom
5.0093 0.0000 -1.5968
-0.5090 4.9834 -1.5968
-0.2720 -0.3012 7.8024
! Relative energy among the computed polymorphs: 0.000 eV/atom
! Formation energy from the elements: -0.145 eV per atom

Record 13
! Ca2BeSi3Ir4 (GGA-PBE, relaxed); values from VASP
&SYSTEM
  ibrav = 0, nat = 10, ntyp = 4
/
ATOMIC_SPECIES
Si 28.09 Si.upf
Ca 40.08 Ca.upf
Ir 192.22 Ir.upf
Be 9.01 Be.upf
ATOMIC_POSITIONS crystal
Si 0.0000 0.0000 0.5000
Si 0.5000 0.0000 0.8707
Si 0.0000 0.5000 0.1293
Ca 0.0000 0.5000 0.7445
Ca 0.5000 0.0000 0.2555
Ir 0.0000 0.5000 0.3756
Ir 0.5000 0.0000 0.6244
Ir 0.0000 0.0000 0.0000
Ir 0.5000 0.5000 0.0000
Be 0.5000 0.5000 0.5000
CELL_PARAMETERS angstrom
-3.6169 0.2748 1.9445
0.6328 -3.6946 1.6992
4.4336 4.2744 7.6428
! E_form (uncorrected): -0.827 eV/atom

Record 14
! Co2SiNi (GGA-PBE, relaxed); values from VASP
&SYSTEM
  ibrav = 0, nat = 4, ntyp = 3
/
ATOMIC_SPECIES
Co 58.93 Co.upf
Si 28.09 Si.upf
Ni 58.69 Ni.upf
ATOMIC_POSITIONS crystal
Co 0.0000 0.0000 0.0000
Co 0.2500 0.7500 0.5000
Si 0.7500 0.2500 0.5000
Ni 0.5000 0.5000 0.0000
CELL_PARAMETERS angstrom
4.2261 0.0022 0.0000
1.2248 4.0448 0.0000
-2.7255 -2.0235 2.5175
! E_form (uncorrected): -0.316 eV/atom

Record 15
# K2TlHCl6

An optimized crystal structure of K2TlHCl6 (GGA-PBE, Alexandria). Values from VASP.

Quantum ESPRESSO input file:
```
&SYSTEM
  ibrav = 0, nat = 20, ntyp = 4
/
ATOMIC_SPECIES
H 1.01 H.upf
Cl 35.45 Cl.upf
K 39.10 K.upf
Tl 204.38 Tl.upf
ATOMIC_POSITIONS crystal
H 0.0000 0.5000 0.0000
H 0.5000 0.0000 0.5000
Cl 0.3010 0.2524 0.8838
Cl 0.1324 0.6990 0.0302
Cl 0.8676 0.3010 0.9698
Cl 0.3676 0.1990 0.4698
Cl 0.6990 0.7476 0.1162
Cl 0.6324 0.8010 0.5302
Cl 0.8010 0.2476 0.3838
Cl 0.1990 0.7524 0.6162
Cl 0.4073 0.1515 0.1735
Cl 0.9073 0.3485 0.6735
Cl 0.0927 0.6515 0.3265
Cl 0.5927 0.8485 0.8265
K 0.0161 0.1135 0.1946
K 0.9839 0.8865 0.8054
K 0.5161 0.3865 0.6946
K 0.4839 0.6135 0.3054
Tl 0.0000 0.5000 0.5000
Tl 0.5000 0.0000 0.0000
CELL_PARAMETERS angstrom
7.9358 0.0000 -0.5810
0.0000 5.8250 0.0000
-0.8965 0.0000 12.6739
```

Record 16
! SnSeF2 (GGA-PBE, relaxed); values from VASP
&SYSTEM
  ibrav = 0, nat = 4, ntyp = 3
/
ATOMIC_SPECIES
F 19.00 F.upf
Se 78.96 Se.upf
Sn 118.71 Sn.upf
ATOMIC_POSITIONS crystal
F 0.9286 0.9286 0.9286
F 0.0714 0.0714 0.0714
Se 0.5000 0.5000 0.5000
Sn 0.0000 0.0000 0.0000
CELL_PARAMETERS angstrom
1.7577 0.0000 9.3870
-0.8788 1.5222 9.3870
-0.8788 -1.5222 9.3870
! E_form (uncorrected): -0.870 eV/atom
! Relative energy among the computed polymorphs: 0.226 eV/atom

Record 17
! Ac5La12Dy (GGA-PBE, relaxed); values from VASP
&SYSTEM
  ibrav = 0, nat = 18, ntyp = 3
/
ATOMIC_SPECIES
Ac 227.00 Ac.upf
La 138.91 La.upf
Dy 162.50 Dy.upf
ATOMIC_POSITIONS crystal
Ac 0.1633 0.6729 0.5003
Ac 0.3356 0.3283 0.9996
Ac 0.6644 0.6717 0.0004
Ac 0.5000 0.0000 0.5000
Ac 0.8367 0.3271 0.4997
La 0.6941 0.0004 0.9271
La 0.1816 0.9996 0.5739
La 0.3463 0.6699 0.9498
La 0.6538 0.3301 0.0502
La 0.0164 0.3300 0.9495
La 0.1470 0.3333 0.4475
La 0.8184 0.0004 0.4261
La 0.4804 0.6668 0.4480
La 0.9836 0.6700 0.0505
La 0.3059 0.9996 0.0729
La 0.5196 0.3332 0.5520
La 0.8530 0.6667 0.5525
Dy 0.0000 0.0000 0.0000
CELL_PARAMETERS angstrom
12.3689 -0.0018 0.1120
6.1844 9.0375 0.0550
0.0191 0.0056 6.2924
! Formation energy from the elements: 0.073 eV per atom

Record 18
! Zn4IrPb (GGA-PBE, relaxed); values from VASP
&SYSTEM
  ibrav = 0, nat = 6, ntyp = 3
/
ATOMIC_SPECIES
Ir 192.22 Ir.upf
Zn 65.41 Zn.upf
Pb 207.20 Pb.upf
ATOMIC_POSITIONS crystal
Ir 0.2500 0.2500 0.2500
Zn 0.6236 0.1292 0.6236
Zn 0.6236 0.6236 0.6236
Zn 0.1292 0.6236 0.6236
Zn 0.6236 0.6236 0.1292
Pb 0.0000 0.0000 0.0000
CELL_PARAMETERS angstrom
-1.7579 -0.6402 4.8191
-0.2769 4.0435 3.2089
-4.6068 1.9199 1.3473
! Formation energy from the elements: 0.110 eV per atom

Record 19
! TbScZn2Ga2 (GGA-PBE, relaxed); values from VASP
&SYSTEM
  ibrav = 0, nat = 6, ntyp = 4
/
ATOMIC_SPECIES
Tb 158.93 Tb.upf
Ga 69.72 Ga.upf
Sc 44.96 Sc.upf
Zn 65.41 Zn.upf
ATOMIC_POSITIONS crystal
Tb 0.0000 0.0000 0.0000
Ga 0.6667 0.3333 0.2688
Ga 0.3333 0.6667 0.7312
Sc 0.0000 0.0000 0.5000
Zn 0.6667 0.3333 0.7182
Zn 0.3333 0.6667 0.2818
CELL_PARAMETERS angstrom
-0.4725 4.0349 1.5747
-3.3809 -2.7482 -0.0002
1.8300 -2.2519 6.3190
! Formation energy from the elements: -0.556 eV per atom

Record 20
! GaBN2F (GGA-PBE, relaxed); values from VASP
&SYSTEM
  ibrav = 0, nat = 5, ntyp = 4
/
ATOMIC_SPECIES
B 10.81 B.upf
N 14.01 N.upf
Ga 69.72 Ga.upf
F 19.00 F.upf
ATOMIC_POSITIONS crystal
B 0.5000 0.5000 0.5000
N 0.0000 0.5000 0.0000
N 0.5000 0.0000 0.0000
Ga 0.0000 0.0000 0.0000
F 0.0000 0.0000 0.5000
CELL_PARAMETERS angstrom
-1.3131 3.6500 0.7902
-1.8345 -1.3600 3.2336
3.2453 0.7047 2.1375
! E_form (uncorrected): 1.377 eV/atom
! Relative energy among the computed polymorphs: 1.067 eV/atom

Record 21
! PaCoSi2Tc (GGA-PBE, relaxed); values from VASP
&SYSTEM
  ibrav = 0, nat = 5, ntyp = 4
/
ATOMIC_SPECIES
Tc 98.00 Tc.upf
Si 28.09 Si.upf
Pa 231.04 Pa.upf
Co 58.93 Co.upf
ATOMIC_POSITIONS crystal
Tc 0.7500 0.2500 0.5000
Si 0.3728 0.3728 0.7456
Si 0.6272 0.6272 0.2544
Pa 0.0000 0.0000 0.0000
Co 0.2500 0.7500 0.5000
CELL_PARAMETERS angstrom
-3.8155 -0.5002 -1.3709
0.1937 -3.9772 0.9120
0.1137 3.1619 4.6161
! E_form (uncorrected): -0.675 eV/atom

Record 22
! AcHoCu2Ge2 (GGA-PBE, relaxed); values from VASP
&SYSTEM
  ibrav = 0, nat = 6, ntyp = 4
/
ATOMIC_SPECIES
Cu 63.55 Cu.upf
Ge 72.64 Ge.upf
Ho 164.93 Ho.upf
Ac 227.00 Ac.upf
ATOMIC_POSITIONS crystal
Cu 0.3333 0.6667 0.7066
Cu 0.6667 0.3333 0.2934
Ge 0.3333 0.6667 0.2769
Ge 0.6667 0.3333 0.7231
Ho 0.0000 0.0000 0.5000
Ac 0.0000 0.0000 0.0000
CELL_PARAMETERS angstrom
4.3335 0.0000 0.0000
-2.1668 3.7530 0.0000
0.0000 0.0000 7.8821
! Formation energy from the elements: -0.650 eV per atom

Record 23
! CdSbBr2 (GGA-PBE, relaxed); values from VASP
&SYSTEM
  ibrav = 0, nat = 4, ntyp = 3
/
ATOMIC_SPECIES
Br 79.90 Br.upf
Cd 112.41 Cd.upf
Sb 121.76 Sb.upf
ATOMIC_POSITIONS crystal
Br 0.2500 0.2500 0.2500
Br 0.0000 0.0000 0.0000
Cd 0.5000 0.5000 0.5000
Sb 0.7500 0.7500 0.7500
CELL_PARAMETERS angstrom
5.3232 0.0000 0.0000
2.6616 4.6101 0.0000
2.6616 1.5367 4.3464
! E_form (uncorrected): 0.145 eV/atom
! Relative energy among the computed polymorphs: 0.486 eV/atom

Record 24
! Tl2Cd12Hg7 (GGA-PBE, relaxed); values from VASP
&SYSTEM
  ibrav = 0, nat = 21, ntyp = 3
/
ATOMIC_SPECIES
Hg 200.59 Hg.upf
Tl 204.38 Tl.upf
Cd 112.41 Cd.upf
ATOMIC_POSITIONS crystal
Hg 0.2649 0.4235 0.1400
Hg 0.2649 0.7165 0.5765
Hg 0.7351 0.1400 0.7165
Hg 0.7351 0.5765 0.8600
Hg 0.7351 0.2835 0.4235
Hg 0.2649 0.8600 0.2835
Hg 0.5000 0.0000 0.0000
Tl 0.2376 0.3333 0.6667
Tl 0.7624 0.6667 0.3333
Cd 0.7421 0.5425 0.6159
Cd 0.7421 0.0734 0.4575
Cd 0.7847 0.2451 0.1706
Cd 0.2579 0.9266 0.5425
Cd 0.2579 0.4575 0.3841
Cd 0.7421 0.3841 0.9266
Cd 0.7847 0.8294 0.0744
Cd 0.2579 0.6159 0.0734
Cd 0.7847 0.9256 0.7549
Cd 0.2153 0.7549 0.8294
Cd 0.2153 0.1706 0.9256
Cd 0.2153 0.0744 0.2451
CELL_PARAMETERS angstrom
-0.3263 -3.3005 -1.2789
12.4342 -2.3410 2.8686
-9.2533 -2.4759 8.7503
! Formation energy from the elements: 0.021 eV per atom

Record 25
! AlCd2Cu (GGA-PBE, relaxed); values from VASP
&SYSTEM
  ibrav = 0, nat = 8, ntyp = 3
/
ATOMIC_SPECIES
Cd 112.41 Cd.upf
Cu 63.55 Cu.upf
Al 26.98 Al.upf
ATOMIC_POSITIONS crystal
Cd 0.8750 0.8833 0.7500
Cd 0.6333 0.1250 0.2500
Cd 0.3750 0.3667 0.7500
Cd 0.1167 0.6250 0.2500
Cu 0.0000 0.0000 0.0000
Cu 0.7500 0.2500 0.5000
Al 0.2500 0.7500 0.5000
Al 0.5000 0.5000 0.0000
CELL_PARAMETERS angstrom
-1.3800 -3.8863 0.1172
3.8880 -1.3796 0.0351
1.2680 -2.3535 9.5095
! Formation energy from the elements: 0.243 eV per atom

Number 1: total DFT energy (no corrections) -4.5625 eV/atom. Number 2: total DFT energy (no corrections) -7.8368 eV/atom. Number 3: total DFT energy (no corrections) -6.5626 eV/atom. Number 4: total DFT energy (no corrections) -3.3800 eV/atom. Number 5: total DFT energy (no corrections) -5.8872 eV/atom. Number 6: total DFT energy (no corrections) -4.8381 eV/atom. Number 7: total DFT energy (no corrections) -6.9177 eV/atom. Number 8: total DFT energy (no corrections) -8.6963 eV/atom. Number 9: total DFT energy (no corrections) -6.7640 eV/atom. Number 10: total DFT energy (no corrections) -4.6597 eV/atom. Number 11: total DFT energy (no corrections) -2.4243 eV/atom. Number 12: total DFT energy (no corrections) -2.5969 eV/atom. Number 13: total DFT energy (no corrections) -6.7717 eV/atom. Number 14: total DFT energy (no corrections) -6.6697 eV/atom. Number 15: total DFT energy (no corrections) -3.0183 eV/atom. Number 16: total DFT energy (no corrections) -3.6779 eV/atom. Number 17: total DFT energy (no corrections) -4.6092 eV/atom. Number 18: total DFT energy (no corrections) -2.8338 eV/atom. Number 19: total DFT energy (no corrections) -3.8164 eV/atom. Number 20: total DFT energy (no corrections) -4.2681 eV/atom. Number 21: total DFT energy (no corrections) -8.2380 eV/atom. Number 22: total DFT energy (no corrections) -5.0023 eV/atom. Number 23: total DFT energy (no corrections) -1.9510 eV/atom. Number 24: total DFT energy (no corrections) -0.8282 eV/atom. Number 25: total DFT energy (no corrections) -2.1738 eV/atom.